[1]
# SrHg2Pd PBE-GGA optimized geometry
# ΔH_f (0 K) = -0.429 eV/atom
# Total magnetic moment = 0.00 μB per formula unit
data_SrHg2Pd
_chemical_formula_sum 'Sr3 Hg6 Pd3'
_space_group_name_H-M_alt 'R -3 m'
_space_group_IT_number 166
_space_group_name_Hall '-R 3 2"'
_cell_length_a 4.7970
_cell_length_b 4.7970
_cell_length_c 15.5498
_cell_angle_alpha 90.00
_cell_angle_beta 90.00
_cell_angle_gamma 120.00
loop_
_atom_site_label
_atom_site_type_symbol
_atom_site_fract_x
_atom_site_fract_y
_atom_site_fract_z
Sr1 Sr 0.0000 0.0000 0.0000
Hg1 Hg 0.0000 0.0000 0.2194
Pd1 Pd 0.0000 0.0000 0.5000

[2]
# SrHg3Pd3 PBE-GGA optimized geometry
# Polymorph energy (0 for the lowest one) = 329 meV per atom
# ΔH_f (0 K) = 0.042 eV/atom
# Total magnetic moment = 0.00 μB per formula unit
data_SrHg3Pd3
_chemical_formula_sum 'Sr2 Hg6 Pd6'
_space_group_name_H-M_alt 'P m -3 n'
_space_group_IT_number 223
_space_group_name_Hall '-P 4n 2 3'
_cell_length_a 7.452
_cell_length_b 7.452
_cell_length_c 7.452
_cell_angle_alpha 90.00
_cell_angle_beta 90.00
_cell_angle_gamma 90.00
loop_
_atom_site_label
_atom_site_type_symbol
_atom_site_fract_x
_atom_site_fract_y
_atom_site_fract_z
Sr1 Sr 0.000 0.000 0.000
Hg1 Hg 0.000 0.250 0.500
Pd1 Pd 0.000 0.500 0.250

Which value of ΔH_f (0 K) does entry 1 give? -0.429 eV/atom